Record 1
The following is a PBE calculation of a geometry-optimized Ba2TeRh structure, from the Alexandria database.

POSCAR file:
```
Ba2TeRh
1.0
-1.477 3.624 1.349
-3.619 -1.803 0.883
2.545 -1.612 7.119
Rh Ba Te
1 2 1
direct
0.500 0.500 0.000
0.000 0.000 0.763
0.000 0.000 0.237
0.500 0.500 0.500
```

Values from the calculation:
Uncorrected energy in eV/atom: -4.216
E_form (uncorrected) in eV/atom: -0.6313

Record 2
The following is a PBE calculation of a geometry-optimized Ba2Te4Rh structure, from the Alexandria database.

POSCAR file:
```
Ba2Te4Rh
1.0
5.321 0.000 0.000
0.000 5.321 0.000
2.660 2.660 8.693
Ba Rh Te
2 1 4
direct
0.641 0.641 0.717
0.359 0.359 0.283
0.000 0.000 0.000
0.000 0.500 0.000
0.841 0.841 0.318
0.500 0.000 0.000
0.159 0.159 0.682
```

Values from the calculation:
Uncorrected energy in eV/atom: -4.325
E_form (uncorrected) in eV/atom: -0.9302